NaPtBr | GGA-PBE | relaxed

Geometry as POSCAR:
```
NaPtBr
1.0
3.923 0.000 0.000
1.936 5.656 0.000
0.680 2.157 7.224
Na Pt Br
2 2 2
Cartesian
0.000 0.000 0.000
2.631 4.805 7.186
3.881 6.215 2.245
3.905 2.164 2.231
2.501 4.175 2.687
4.591 6.327 5.780
```

Computed properties:
SG: P1, No. 1
Offset from the most stable computed form (eV/atom): 0.182
N(E_F) (states/eV/atom): 0.00
Electronic total energy (eV per formula unit): -10.26
Volume (Å³/atom): 26.7

Na2PtBr | GGA-PBE | relaxed

Geometry as POSCAR:
```
Na2PtBr
1.0
-3.974 3.974 2.879
3.974 -3.974 2.879
3.974 3.974 -2.879
Na Pt Br
4 2 2
Cartesian
5.961 1.980 -0.720
1.980 1.987 0.720
-1.987 1.994 2.159
1.994 1.987 3.599
3.974 0.000 1.439
0.000 0.000 2.879
0.000 0.000 0.000
0.000 3.974 1.439
```

Computed properties:
SG: I-42d, No. 122
Offset from the most stable computed form (eV/atom): 0.000
N(E_F) (states/eV/atom): 0.26
Electronic total energy (eV per formula unit): -11.51
Volume (Å³/atom): 22.7

NaPtBr2 | GGA-PBE | relaxed

Geometry as POSCAR:
```
NaPtBr2
1.0
2.099 1.212 8.055
-2.099 1.212 8.055
0.000 -2.424 8.055
Na Pt Br
1 1 2
Cartesian
0.000 0.000 0.000
0.000 0.000 12.082
0.000 0.000 9.679
0.000 0.000 14.486
```

Computed properties:
SG: R-3m, No. 166
Offset from the most stable computed form (eV/atom): 0.009
N(E_F) (states/eV/atom): 1.59
Electronic total energy (eV per formula unit): -12.11
Volume (Å³/atom): 30.7

NaPtBr5 | GGA-PBE | relaxed

Geometry as POSCAR:
```
NaPtBr5
1.0
7.216 -3.672 0.000
7.216 3.672 0.000
-3.190 0.000 8.907
Na Pt Br
2 2 10
Cartesian
4.823 3.139 6.680
6.418 -3.139 2.227
7.216 0.000 0.000
5.621 0.000 4.453
2.530 1.763 7.941
3.780 1.687 4.260
6.418 0.959 2.227
7.116 1.763 5.419
9.057 1.687 0.193
2.185 -1.687 8.714
4.125 -1.763 3.488
4.823 -0.959 6.680
7.461 -1.687 4.646
8.711 -1.763 0.966
```

Computed properties:
SG: C2/c, No. 15
Offset from the most stable computed form (eV/atom): 0.037
N(E_F) (states/eV/atom): 0.61
Electronic total energy (eV per formula unit): -19.58
Volume (Å³/atom): 33.7

NaPtBr | GGA-PBE | relaxed

Geometry as POSCAR:
```
NaPtBr
1.0
4.628 0.000 0.000
-2.311 4.009 0.000
-0.030 -2.533 8.216
Na Pt Br
2 2 2
Cartesian
0.000 0.000 0.000
0.000 -0.001 3.407
-0.001 2.674 1.701
2.313 1.337 1.700
2.283 -1.196 7.409
2.314 1.336 4.213
```

Computed properties:
SG: P1, No. 1
Offset from the most stable computed form (eV/atom): 0.035
N(E_F) (states/eV/atom): 0.00
Electronic total energy (eV per formula unit): -10.70
Volume (Å³/atom): 25.4

NaPtBr | GGA-PBE | relaxed

Geometry as POSCAR:
```
NaPtBr
1.0
3.970 0.000 0.000
0.000 3.970 0.000
0.000 0.000 9.611
Na Pt Br
2 2 2
Cartesian
0.993 0.993 2.297
2.978 2.978 7.314
0.993 0.993 5.019
2.978 2.978 4.592
0.993 2.978 0.000
2.978 0.993 0.000
```

Computed properties:
SG: P4/nmm, No. 129
Offset from the most stable computed form (eV/atom): 0.573
N(E_F) (states/eV/atom): 0.62
Electronic total energy (eV per formula unit): -9.08
Volume (Å³/atom): 25.2

NaPtBr6 | GGA-PBE | relaxed

Geometry as POSCAR:
```
NaPtBr6
1.0
4.622 -4.691 0.000
4.622 4.691 0.000
-4.511 0.000 6.434
Na Pt Br
1 1 6
Cartesian
0.000 0.000 0.000
-2.255 0.000 3.217
2.820 2.916 1.501
1.913 2.916 4.932
0.158 0.000 3.801
4.575 0.000 2.633
2.820 -2.916 1.501
1.913 -2.916 4.932
```

Computed properties:
SG: C2/m, No. 12
Offset from the most stable computed form (eV/atom): 0.000
N(E_F) (states/eV/atom): 0.99
Electronic total energy (eV per formula unit): -21.07
Volume (Å³/atom): 34.9

NaPtBr2 | GGA-PBE | relaxed

Geometry as POSCAR:
```
NaPtBr2
1.0
0.000 3.529 3.529
3.529 0.000 3.529
3.529 3.529 0.000
Na Pt Br
1 1 2
Cartesian
0.000 0.000 0.000
3.529 3.529 3.529
1.765 1.765 1.765
5.294 5.294 5.294
```

Computed properties:
SG: Fm-3m, No. 225
Offset from the most stable computed form (eV/atom): 0.259
N(E_F) (states/eV/atom): 1.79
Electronic total energy (eV per formula unit): -11.11
Volume (Å³/atom): 22.0

NaPt2Br8 | GGA-PBE | relaxed

Geometry as POSCAR:
```
NaPt2Br8
1.0
5.291 -4.575 0.000
5.291 4.575 0.000
-3.401 0.000 7.550
Na Pt Br
1 2 8
Cartesian
0.000 0.000 0.000
-0.508 0.000 4.597
7.689 0.000 2.953
3.583 2.859 1.687
1.276 0.000 2.958
3.599 2.859 5.863
1.459 0.000 6.257
5.722 0.000 1.293
3.583 -2.859 1.687
5.905 0.000 4.592
3.599 -2.859 5.863
```

Computed properties:
SG: C2/m, No. 12
N(E_F) (states/eV/atom): 0.23
Electronic total energy (eV per formula unit): -29.15
Volume (Å³/atom): 33.2

NaPtBr | GGA-PBE | relaxed

Geometry as POSCAR:
```
NaPtBr
1.0
8.738 0.000 0.000
0.000 3.907 0.000
0.000 0.000 8.501
Na Pt Br
4 4 4
Cartesian
8.736 0.977 2.129
0.002 2.930 6.371
4.367 0.977 2.121
4.371 2.930 6.380
2.186 0.977 5.538
2.183 2.930 1.287
6.555 0.977 7.214
6.552 2.930 2.963
2.181 0.977 7.983
2.188 2.930 3.733
6.550 0.977 4.768
6.557 2.930 0.517
```

Computed properties:
SG: Pnma, No. 62
Offset from the most stable computed form (eV/atom): 0.363
N(E_F) (states/eV/atom): 0.01
Electronic total energy (eV per formula unit): -9.71
Volume (Å³/atom): 24.2

Na3PtBr7 | GGA-PBE | relaxed

Geometry as POSCAR:
```
Na3PtBr7
1.0
7.015 -4.311 0.000
7.015 4.311 0.000
-3.266 0.000 6.571
Na Pt Br
3 1 7
Cartesian
0.000 0.000 0.000
4.803 1.899 3.495
4.803 -1.899 3.495
6.446 0.000 0.212
-1.408 0.000 4.483
2.356 1.793 5.222
4.191 0.000 1.340
7.251 1.792 1.786
2.356 -1.793 5.222
5.432 0.000 5.683
7.251 -1.792 1.786
```

Computed properties:
SG: Cm, No. 8
Electronic total energy (eV per formula unit): -31.98
Volume (Å³/atom): 36.1

NaPtBr | GGA-PBE | relaxed

Geometry as POSCAR:
```
NaPtBr
1.0
3.756 0.000 0.000
1.872 5.294 0.000
0.032 0.394 7.578
Na Pt Br
2 2 2
Cartesian
0.000 0.000 0.000
1.911 1.616 4.719
1.906 4.512 4.433
3.785 3.772 6.038
1.875 2.371 0.019
3.785 4.878 2.686
```

Computed properties:
SG: P1, No. 1
Offset from the most stable computed form (eV/atom): 0.019
N(E_F) (states/eV/atom): 0.00
Electronic total energy (eV per formula unit): -10.75
Volume (Å³/atom): 25.1

NaPtBr3 | GGA-PBE | relaxed

Geometry as POSCAR:
```
NaPtBr3
1.0
5.301 0.000 0.000
0.000 5.301 0.000
0.000 0.000 5.301
Na Pt Br
1 1 3
Cartesian
0.000 0.000 0.000
2.650 2.650 2.650
0.000 0.000 2.650
0.000 2.650 0.000
2.650 0.000 0.000
```

Computed properties:
SG: Pm-3m, No. 221
Offset from the most stable computed form (eV/atom): 1.045
N(E_F) (states/eV/atom): 1.51
Electronic total energy (eV per formula unit): -9.99
Volume (Å³/atom): 29.8

NaPtBr | GGA-PBE | relaxed

Geometry as POSCAR:
```
NaPtBr
1.0
3.743 0.000 0.000
0.000 4.882 0.000
-0.024 -2.428 8.377
Na Pt Br
2 2 2
Cartesian
0.924 1.227 2.844
2.795 1.227 5.533
0.924 -1.214 5.083
2.795 3.668 3.294
0.923 3.669 1.447
2.795 -1.215 6.930
```

Computed properties:
SG: P-1, No. 2
Offset from the most stable computed form (eV/atom): 0.014
Electronic total energy (eV per formula unit): -10.76
Volume (Å³/atom): 25.5

NaPtBr | GGA-PBE | relaxed

Geometry as POSCAR:
```
NaPtBr
1.0
4.949 0.000 0.000
-2.475 4.286 0.000
0.000 0.000 9.594
Na Pt Br
2 2 2
Cartesian
0.000 2.858 2.398
2.475 1.429 7.195
0.000 0.000 0.000
0.000 0.000 4.797
0.000 0.000 2.398
0.000 0.000 7.195
```

Computed properties:
SG: P6_3/mmc, No. 194
Offset from the most stable computed form (eV/atom): 0.560
N(E_F) (states/eV/atom): 0.30
Electronic total energy (eV per formula unit): -9.12
Volume (Å³/atom): 33.9

NaPtBr | GGA-PBE | relaxed

Geometry as POSCAR:
```
NaPtBr
1.0
7.591 0.000 0.000
0.000 4.634 0.000
0.000 0.000 9.104
Na Pt Br
4 4 4
Cartesian
1.747 1.158 0.006
2.049 3.475 4.558
5.543 1.158 4.546
5.844 3.475 9.098
0.384 3.475 6.986
3.411 1.158 2.434
4.180 3.475 6.671
7.207 1.158 2.119
0.304 3.475 2.176
3.492 1.158 6.728
4.100 3.475 2.376
7.287 1.158 6.928
```

Computed properties:
SG: Pnma, No. 62
Offset from the most stable computed form (eV/atom): 0.363
N(E_F) (states/eV/atom): 0.00
Electronic total energy (eV per formula unit): -9.71
Volume (Å³/atom): 26.7

NaPtBr | GGA-PBE | relaxed

Geometry as POSCAR:
```
NaPtBr
1.0
2.908 0.000 0.000
0.000 4.347 0.000
0.000 0.000 11.506
Na Pt Br
2 2 2
Cartesian
0.727 1.087 2.547
2.181 3.261 8.958
0.727 3.261 0.172
2.181 1.087 11.334
0.727 1.087 7.497
2.181 3.261 4.008
```

Computed properties:
SG: Pmmn, No. 59
Offset from the most stable computed form (eV/atom): 0.073
N(E_F) (states/eV/atom): 0.56
Electronic total energy (eV per formula unit): -10.58
Volume (Å³/atom): 24.2

NaPtBr | GGA-PBE | relaxed

Geometry as POSCAR:
```
NaPtBr
1.0
0.000 3.252 3.252
3.252 0.000 3.252
3.252 3.252 0.000
Na Pt Br
1 1 1
Cartesian
0.000 0.000 0.000
4.878 4.878 4.878
3.252 3.252 3.252
```

Computed properties:
SG: F-43m, No. 216
Offset from the most stable computed form (eV/atom): 0.634
N(E_F) (states/eV/atom): 0.38
Electronic total energy (eV per formula unit): -8.90
Volume (Å³/atom): 22.9

NaPtBr | GGA-PBE | relaxed

Geometry as POSCAR:
```
NaPtBr
1.0
3.848 0.000 0.000
-1.917 4.994 0.000
-0.261 -2.588 8.633
Na Pt Br
2 2 2
Cartesian
0.000 0.000 0.000
-0.264 -0.770 5.066
-0.276 1.037 2.668
1.651 -0.684 2.615
-0.255 2.572 6.565
1.651 2.651 1.975
```

Computed properties:
SG: P1, No. 1
Offset from the most stable computed form (eV/atom): 0.072
N(E_F) (states/eV/atom): 0.00
Electronic total energy (eV per formula unit): -10.59
Volume (Å³/atom): 27.6

Na2PtBr | GGA-PBE | relaxed

Geometry as POSCAR:
```
Na2PtBr
1.0
0.000 3.553 3.553
3.553 0.000 3.553
3.553 3.553 0.000
Na Pt Br
2 1 1
Cartesian
1.777 1.777 1.777
5.330 5.330 5.330
0.000 0.000 0.000
3.553 3.553 3.553
```

Computed properties:
SG: Fm-3m, No. 225
Offset from the most stable computed form (eV/atom): 0.054
N(E_F) (states/eV/atom): 1.09
Electronic total energy (eV per formula unit): -11.29
Volume (Å³/atom): 22.4